Density functional theory data (GGA+U) for crystalline LaNbMoO6 at its relaxed geometry.

```
LaNbMoO6
1.0
4.9990 0.0000 0.0000
0.0000 4.9990 0.0000
0.0000 0.0000 10.0226
La Nb Mo O
2 2 2 12
direct
0.0000 0.0000 0.0000
0.5000 0.5000 0.5000
0.0000 0.0000 0.3367
0.5000 0.5000 0.8367
0.0000 0.0000 0.6715
0.5000 0.5000 0.1715
0.1723 0.1723 0.5007
0.2116 0.2116 0.1955
0.2187 0.2187 0.8139
0.2813 0.7187 0.3139
0.2884 0.7116 0.6954
0.3277 0.6723 0.0007
0.6723 0.3277 0.0007
0.7116 0.2884 0.6954
0.7187 0.2813 0.3139
0.7813 0.7813 0.8139
0.7884 0.7884 0.1955
0.8277 0.8277 0.5007
```

Output
Spin magnetization = 4.000 μB/cell
V = 250.5 Å³/cell
Raw total energy = -148.7 eV/cell